Entry from Alexandria via LeMat-Bulk: a geometry-optimized Pr7HoTl2 structure (GGA-PBE).

a = 5.4006 Å, b = 9.4309 Å, c = 9.4309 Å
α = 119.80°, β = 90.00°, γ = 90.00°
Last column: nearest neighbours and their distance in Å.
Sites, in units of the cell vectors:
Ho 0.0000 0.0000 0.0000  10 Pr 3.62-3.74
Tl 0.5000 0.6932 0.3068  5 Pr 3.03-3.25
Pr 0.5000 0.0631 0.3005  2 Tl 3.25-3.52, 4 Pr 3.44-3.62
Pr 0.5000 0.6995 0.9369  2 Tl 3.25-3.52, 4 Pr 3.44-3.62
Pr 0.5000 0.5000 0.5000  2 Tl 3.15
Pr 0.0000 0.7779 0.2221  2 Tl 3.03
Tl 0.5000 0.3068 0.6932  5 Pr 3.03-3.25
Pr 0.5000 0.3005 0.0631  2 Tl 3.25-3.52, 4 Pr 3.44-3.62
Pr 0.5000 0.9369 0.6995  2 Tl 3.25-3.52, 4 Pr 3.44-3.62
Pr 0.0000 0.2221 0.7779  2 Tl 3.03

The formation enthalpy at 0 K comes out at 323 meV/atom. The value obtained for the electronic total energy is -39.5 eV/f.u. Its symmetry is Cmmm (65). Its crystal system is orthorhombic.